Entry 1:
Material: Be2PH
Method: DFT, PBE
State: relaxed

As for the energy above the most stable polymorph in this dataset: 0.0097 eV/atom. The value obtained for the total magnetic moment is 0.0 μB/cell.

The structure belongs to space group P2_1/m (No. 11); the cell edges are 4.695, 3.529 and 6.487 Å and the angles 90.00°, 111.04° and 90.00°. Symmetry generates all atoms from Be at (0.049, 0.250, 0.146), Be at (0.405, 0.750, 0.854), P at (0.338, 0.750, 0.177) and H at (0.096, 0.750, 0.690).

Entry 2:
Material: Ca2TlOs
Method: DFT, PBE
State: relaxed

As for the energy above the most stable polymorph in this dataset: 0.5939 eV/atom. The value obtained for the total magnetic moment is 1.8 μB/cell. The calculation puts the formation energy from the elements at 0.816 eV per atom.

The structure belongs to space group I-42d (No. 122); the cell edges are 4.507, 4.507 and 20.306 Å and the angles 90.00°, 90.00° and 90.00°. Symmetry generates all atoms from Ca at (0.227, 0.250, 0.125), Tl at (0.000, 0.000, 0.500) and Os at (0.000, 0.000, 0.000).

Entry 3:
Material: TaRh3
Method: DFT, PBE
State: relaxed

The value obtained for the total magnetic moment is 0.0 μB/cell. The calculation puts the formation energy from the elements at -0.607 eV per atom.

The structure belongs to space group Pm-3m (No. 221); the cell edges are 3.899, 3.899 and 3.899 Å and the angles 90.00°, 90.00° and 90.00°. Symmetry generates all atoms from Ta at (0.000, 0.000, 0.000) and Rh at (0.000, 0.500, 0.500).

Entry 4:
Material: TiNbCoGe2
Method: DFT, PBE
State: relaxed

The value obtained for the total magnetic moment is 0.0 μB/cell. The calculation puts the formation energy from the elements at 0.798 eV per atom.

The structure belongs to space group P4/mmm (No. 123); the cell edges are 4.746, 4.746 and 4.076 Å and the angles 90.00°, 90.00° and 90.00°. Symmetry generates all atoms from Ti at (0.000, 0.000, 0.000), Nb at (0.500, 0.500, 0.500), Co at (0.000, 0.000, 0.500) and Ge at (0.000, 0.500, 0.000).

Entry 5:
Material: MgScTc2
Method: DFT, PBE
State: relaxed

The value obtained for the total magnetic moment is 0.0 μB/cell. The calculation puts the formation energy from the elements at 0.053 eV per atom.

The structure belongs to space group Pm (No. 6); the cell edges are 2.966, 4.262 and 5.638 Å and the angles 90.00°, 104.17° and 90.00°. Symmetry generates all atoms from Mg at (0.000, 0.000, 0.000), Sc at (0.586, 0.500, 0.284), Tc at (0.128, 0.000, 0.542) and Tc at (0.517, 0.500, 0.729).

Entry 6:
Material: Al2ZnCr
Method: DFT, PBE
State: relaxed

The value obtained for the total magnetic moment is 0.0 μB/cell. The calculation puts the formation energy from the elements at 0.079 eV per atom.

The structure belongs to space group P2/m (No. 10); the cell edges are 2.616, 4.355 and 4.972 Å and the angles 90.00°, 94.79° and 90.00°. Symmetry generates all atoms from Al at (0.197, 0.000, 0.243), Zn at (0.000, 0.500, 0.500) and Cr at (0.500, 0.500, 0.000).

Entry 7:
Material: RbCe2I6
Method: DFT, PBE
State: relaxed

As for the uncorrected formation energy: -1354 meV/atom. The value obtained for the total magnetic moment is 3.0 μB/cell.

The structure belongs to space group P-31m (No. 162); the cell edges are 8.1109, 8.1109 and 8.3869 Å and the angles 90.00°, 90.00° and 120.00°. Symmetry generates all atoms from Rb at (0.0000, 0.0000, 0.0000), Ce at (0.3333, 0.6667, 0.5000) and I at (0.0000, 0.3632, 0.7264).

Entry 8:
Material: FePd2Au
Method: DFT, PBE
State: relaxed

The value obtained for the total magnetic moment is 11.3 μB/cell. The calculation puts the formation energy from the elements at -0.053 eV per atom.

The structure belongs to space group R-3m (No. 166, hexagonal axes); the cell edges are 2.8218, 2.8218 and 26.8784 Å and the angles 90.00°, 90.00° and 120.00°. Symmetry generates all atoms from Fe at (0.0000, 0.0000, 0.0000), Pd at (0.0000, 0.0000, 0.2570) and Au at (0.0000, 0.0000, 0.5000).

Entry 9:
Material: SrZnGaAg3
Method: DFT, PBE
State: relaxed

The value obtained for the total magnetic moment is 0.0 μB/cell. The calculation puts the formation energy from the elements at -0.113 eV per atom.

The structure belongs to space group Cmcm (No. 63); the cell edges are 6.880, 12.886 and 6.094 Å and the angles 90.00°, 90.00° and 90.00°. Symmetry generates all atoms from Sr at (0.000, 0.215, 0.250), Zn at (0.000, 0.453, 0.250), Ga at (0.000, 0.134, 0.750), Ag at (0.000, 0.341, 0.750) and Ag at (0.206, 0.000, 0.000).

Entry 10:
Material: SmZr2In
Method: DFT, PBE
State: relaxed

As for the energy above the most stable polymorph in this dataset: 0.3498 eV/atom. The value obtained for the total magnetic moment is 0.0 μB/cell. The calculation puts the formation energy from the elements at 0.194 eV per atom.

The structure belongs to space group R-3m (No. 166, hexagonal axes); the cell edges are 3.1894, 3.1894 and 34.8801 Å and the angles 90.00°, 90.00° and 120.00°. Symmetry generates all atoms from Sm at (0.0000, 0.0000, 0.0000), Zr at (0.0000, 0.0000, 0.0926) and In at (0.0000, 0.0000, 0.5000).

Entry 11:
Material: EuSc3Ru
Method: DFT, PBE
State: relaxed

The value obtained for the total magnetic moment is 7.4 μB/cell. The calculation puts the formation energy from the elements at -0.171 eV per atom.

The structure belongs to space group Pm-3m (No. 221); the cell edges are 5.109, 5.109 and 5.109 Å and the angles 90.00°, 90.00° and 90.00°. Symmetry generates all atoms from Eu at (0.000, 0.000, 0.000), Sc at (0.000, 0.500, 0.500) and Ru at (0.500, 0.500, 0.500).

Entry 12:
Material: PuScU2S5
Method: DFT, PBE
State: relaxed

As for the uncorrected formation energy: -1083 meV/atom. The value obtained for the total magnetic moment is 0.8 μB/cell.

The structure belongs to space group P4/mmm (No. 123); the cell edges are 4.567, 4.567 and 10.281 Å and the angles 90.00°, 90.00° and 90.00°. Symmetry generates all atoms from Pu at (0.000, 0.000, 0.000), Sc at (0.000, 0.000, 0.500), U at (0.500, 0.500, 0.304), S at (0.000, 0.000, 0.254), S at (0.000, 0.500, 0.500) and S at (0.500, 0.500, 0.000).